[1]
DFT (PBE) results for Cs2La2PtO6 after structural relaxation.

Cell: 6.1272 6.1272 7.2132 Å, 97.00 97.00 119.26°
Positions (direct):
1 Cs 0.1633 0.8367 0.0000
2 Cs 0.8367 0.1633 0.0000
3 La 0.3357 0.6643 0.5000
4 La 0.6643 0.3357 0.5000
5 Pt 0.0000 0.0000 0.5000
6 O 0.0420 0.3415 0.6543
7 O 0.2426 0.2426 0.3371
8 O 0.3415 0.0420 0.6543
9 O 0.6585 0.9580 0.3457
10 O 0.7574 0.7574 0.6629
11 O 0.9580 0.6585 0.3457

Summary:
E: -6.30 eV/atom
Formation energy without anion corrections: -2.00 eV per atom


[2]
DFT (PBE) results for Cs2LaPtO4 after structural relaxation.

Cell: 14.1142 12.4961 7.9921 Å, 84.02 61.71 34.27°
Positions (direct):
1 Cs 0.0590 0.0590 0.6910
2 Cs 0.3090 0.3090 0.9410
3 Cs 0.6910 0.6910 0.0590
4 Cs 0.9410 0.9410 0.3090
5 La 0.1250 0.1250 0.1250
6 La 0.8750 0.8750 0.8750
7 Pt 0.3750 0.3750 0.3750
8 Pt 0.6250 0.6250 0.6250
9 O 0.0540 0.6955 0.5060
10 O 0.2445 0.5060 0.6955
11 O 0.3045 0.9460 0.7555
12 O 0.4940 0.7555 0.9460
13 O 0.5060 0.2445 0.0540
14 O 0.6955 0.0540 0.2445
15 O 0.7555 0.4940 0.3045
16 O 0.9460 0.3045 0.4940

Summary:
E: -5.53 eV/atom
Formation energy without anion corrections: -1.47 eV per atom


[3]
DFT (PBE) results for Cs2LaPtO6 after structural relaxation.

Cell: 6.2210 6.2210 6.2210 Å, 60.00 60.00 60.00°
Positions (direct):
1 Cs 0.2500 0.2500 0.2500
2 Cs 0.7500 0.7500 0.7500
3 La 0.0000 0.0000 0.0000
4 Pt 0.5000 0.5000 0.5000
5 O 0.2756 0.2756 0.7244
6 O 0.2756 0.7244 0.2756
7 O 0.2756 0.7244 0.7244
8 O 0.7244 0.2756 0.2756
9 O 0.7244 0.2756 0.7244
10 O 0.7244 0.7244 0.2756

Summary:
E: -5.64 eV/atom
Formation energy without anion corrections: -1.40 eV per atom


- What is the formula in the third record?
  Cs2LaPtO6


- The lowest formation energy without anion corrections belongs to which entry?
  Cs2La2PtO6


What did the first record say?
DFT (PBE) results for Cs2La2PtO6 after structural relaxation.

Cell: 6.1272 6.1272 7.2132 Å, 97.00 97.00 119.26°
Positions (direct):
1 Cs 0.1633 0.8367 0.0000
2 Cs 0.8367 0.1633 0.0000
3 La 0.3357 0.6643 0.5000
4 La 0.6643 0.3357 0.5000
5 Pt 0.0000 0.0000 0.5000
6 O 0.0420 0.3415 0.6543
7 O 0.2426 0.2426 0.3371
8 O 0.3415 0.0420 0.6543
9 O 0.6585 0.9580 0.3457
10 O 0.7574 0.7574 0.6629
11 O 0.9580 0.6585 0.3457

Summary:
E: -6.30 eV/atom
Formation energy without anion corrections: -2.00 eV per atom